Entry 1:
The following is a PBE calculation of crystalline Li2TaCd at its relaxed geometry, from the Alexandria database.

Results
Space-group type: R3m (160)
ΔE_f in kJ per mole of atoms: 17

abc: 10.380 10.380 10.380
angles: 16.06 16.06 16.06
Element x y z (fractional)
Cd: 0.747 0.747 0.747
Li: 0.002 0.002 0.002
Li: 0.250 0.250 0.250
Ta: 0.501 0.501 0.501


Entry 2:
The following is a PBE calculation of crystalline Li2TaCd at its relaxed geometry, from the Alexandria database.

Results
Space-group type: Cmm2 (35)
ΔE_f in kJ per mole of atoms: 19

abc: 2.807 2.807 10.111
angles: 90.00 90.00 110.44
Element x y z (fractional)
Cd: 0.500 0.500 0.758
Li: 0.000 0.000 0.994
Li: 0.500 0.500 0.250
Ta: 0.000 0.000 0.498


Number 1: calculated volume 74.6 Å³/f.u.. Number 2: calculated volume 74.6 Å³/f.u..